(1)
This record from Alexandria describes a relaxed NaSi4Pt4 crystal. The functional is PBE-GGA. Values from VASP.

As for the raw formation energy: -501 meV per atom. The space-group type is No. 137. The value obtained for the total magnetization is 0.000 μB/cell. Its crystal system is tetragonal.

Cell and atoms, written as Quantum ESPRESSO input:
```
&SYSTEM
  ibrav = 0, nat = 18, ntyp = 3
/
ATOMIC_SPECIES
Na 22.99 Na.upf
Si 28.09 Si.upf
Pt 195.08 Pt.upf
CELL_PARAMETERS angstrom
6.138 0.000 0.000
0.000 6.138 0.000
0.000 0.000 8.106
ATOMIC_POSITIONS crystal
Na 0.250 0.750 0.250
Na 0.750 0.250 0.750
Si 0.044 0.250 0.076
Si 0.250 0.044 0.576
Si 0.250 0.456 0.576
Si 0.456 0.250 0.076
Si 0.544 0.750 0.924
Si 0.750 0.544 0.424
Si 0.750 0.956 0.424
Si 0.956 0.750 0.924
Pt 0.020 0.250 0.377
Pt 0.250 0.020 0.877
Pt 0.250 0.480 0.877
Pt 0.480 0.250 0.377
Pt 0.520 0.750 0.623
Pt 0.750 0.520 0.123
Pt 0.750 0.980 0.123
Pt 0.980 0.750 0.623
```

***

(2)
This record from Alexandria describes a relaxed Cr2Os crystal. The functional is PBE-GGA. Values from VASP.

The formation energy from the elements comes out at 0.16 eV per atom. The space-group type is No. 141. The value obtained for the total magnetization is 0.000 μB/cell. Its crystal system is tetragonal.

Cell and atoms, written as Quantum ESPRESSO input:
```
&SYSTEM
  ibrav = 0, nat = 12, ntyp = 2
/
ATOMIC_SPECIES
Cr 52.00 Cr.upf
Os 190.23 Os.upf
CELL_PARAMETERS angstrom
-1.848 1.848 11.223
1.848 -1.848 11.223
1.848 1.848 -11.223
ATOMIC_POSITIONS crystal
Cr 0.042 0.792 0.250
Cr 0.124 0.374 0.750
Cr 0.208 0.958 0.250
Cr 0.374 0.124 0.250
Cr 0.626 0.876 0.750
Cr 0.792 0.042 0.750
Cr 0.876 0.626 0.250
Cr 0.958 0.208 0.750
Os 0.293 0.543 0.750
Os 0.457 0.707 0.750
Os 0.543 0.293 0.250
Os 0.707 0.457 0.250
```

***

(3)
This record from Alexandria describes a relaxed Ce2ErRu crystal. The functional is PBE-GGA. Values from VASP.

The formation energy from the elements comes out at -0.23 eV per atom. The space-group type is No. 63. The value obtained for the total magnetization is 0.056 μB/cell. Its crystal system is orthorhombic.

Cell and atoms, written as Quantum ESPRESSO input:
```
&SYSTEM
  ibrav = 0, nat = 8, ntyp = 3
/
ATOMIC_SPECIES
Ce 140.12 Ce.upf
Er 167.26 Er.upf
Ru 101.07 Ru.upf
CELL_PARAMETERS angstrom
1.861 -5.660 0.000
1.861 5.660 0.000
0.000 0.000 9.591
ATOMIC_POSITIONS crystal
Ce 0.139 0.861 0.560
Ce 0.139 0.861 0.940
Ce 0.861 0.139 0.060
Ce 0.861 0.139 0.440
Er 0.420 0.580 0.750
Er 0.580 0.420 0.250
Ru 0.295 0.705 0.250
Ru 0.705 0.295 0.750
```

***

(4)
This record from Alexandria describes a relaxed CeYZnCd crystal. The functional is PBE-GGA. Values from VASP.

The formation energy from the elements comes out at -0.25 eV per atom. The space-group type is No. 99. The value obtained for the total magnetization is 1.038 μB/cell. Its crystal system is tetragonal.

Cell and atoms, written as Quantum ESPRESSO input:
```
&SYSTEM
  ibrav = 0, nat = 4, ntyp = 4
/
ATOMIC_SPECIES
Ce 140.12 Ce.upf
Y 88.91 Y.upf
Zn 65.41 Zn.upf
Cd 112.41 Cd.upf
CELL_PARAMETERS angstrom
3.568 0.000 0.000
0.000 3.568 0.000
0.000 0.000 7.904
ATOMIC_POSITIONS crystal
Ce 0.000 0.000 0.000
Y 0.000 0.000 0.459
Zn 0.500 0.500 0.243
Cd 0.500 0.500 0.716
```

***

Which formula does entry 3 have? Ce2ErRu